(1)
# CsHoCdTe3 (GGA-PBE, relaxed)
# Total DFT energy (no corrections) in eV for the cell shown: -44.6
data_CsHoCdTe3
_space_group_name_H-M_alt 'P 1'
_space_group_IT_number 1
_cell_length_a 11.817
_cell_length_b 8.870
_cell_length_c 8.870
_cell_angle_alpha 29.46
_cell_angle_beta 90.00
_cell_angle_gamma 90.00
loop_
_space_group_symop_operation_xyz
'x,y,z'
loop_
_atom_site_label
_atom_site_fract_x
_atom_site_fract_y
_atom_site_fract_z
Te1 0.000 0.066 0.066
Cs1 0.500 0.249 0.249
Cd1 0.500 0.538 0.538
Ho1 0.750 0.000 0.000
Te2 0.295 0.621 0.621
Cs2 0.000 0.751 0.751
Te3 0.205 0.379 0.379
Cd2 0.000 0.462 0.462
Te4 0.705 0.621 0.621
Te5 0.795 0.379 0.379
Te6 0.500 0.934 0.934
Ho2 0.250 0.000 0.000



(2)
# Cs2CdI4 (GGA-PBE, relaxed)
# Total DFT energy (no corrections) in eV for the cell shown: -68.0
data_Cs2CdI4
_space_group_name_H-M_alt 'P 1'
_space_group_IT_number 1
_cell_length_a 11.099
_cell_length_b 8.545
_cell_length_c 15.465
_cell_angle_alpha 90.00
_cell_angle_beta 90.00
_cell_angle_gamma 90.00
loop_
_space_group_symop_operation_xyz
'x,y,z'
loop_
_atom_site_label
_atom_site_fract_x
_atom_site_fract_y
_atom_site_fract_z
I1 0.029 0.750 0.591
Cd1 0.778 0.750 0.575
I2 0.817 0.250 0.905
Cs1 0.887 0.750 0.928
Cs2 0.113 0.250 0.072
I3 0.183 0.750 0.095
I4 0.327 0.986 0.346
I5 0.173 0.486 0.846
Cd2 0.222 0.250 0.425
I6 0.673 0.486 0.654
I7 0.683 0.750 0.405
Cs3 0.613 0.250 0.428
Cs4 0.018 0.750 0.333
I8 0.471 0.250 0.091
Cd3 0.278 0.750 0.925
Cs5 0.387 0.750 0.572
Cs6 0.518 0.750 0.167
I9 0.529 0.750 0.909
I10 0.827 0.986 0.154
I11 0.173 0.014 0.846
Cs7 0.982 0.250 0.667
Cs8 0.482 0.250 0.833
Cd4 0.722 0.250 0.075
I12 0.827 0.514 0.154
I13 0.327 0.514 0.346
I14 0.317 0.250 0.595
I15 0.971 0.250 0.409
I16 0.673 0.014 0.654



(3)
# Cs2CdI4 (GGA-PBE, relaxed)
# Total DFT energy (no corrections) in eV for the cell shown: -34.1
data_Cs2CdI4
_space_group_name_H-M_alt 'P 1'
_space_group_IT_number 1
_cell_length_a 8.035
_cell_length_b 8.469
_cell_length_c 11.285
_cell_angle_alpha 90.00
_cell_angle_beta 111.69
_cell_angle_gamma 90.00
loop_
_space_group_symop_operation_xyz
'x,y,z'
loop_
_atom_site_label
_atom_site_fract_x
_atom_site_fract_y
_atom_site_fract_z
Cs1 0.840 0.250 0.035
I1 0.782 0.250 0.355
Cs2 0.715 0.750 0.409
Cd1 0.411 0.250 0.223
I2 0.247 0.987 0.286
I3 0.313 0.250 0.953
I4 0.753 0.487 0.714
Cs3 0.285 0.250 0.591
Cs4 0.160 0.750 0.965
I5 0.218 0.750 0.645
I6 0.247 0.513 0.286
I7 0.753 0.013 0.714
I8 0.687 0.750 0.047
Cd2 0.589 0.750 0.777



(4)
# Cs3CdI5 (GGA-PBE, relaxed)
# Total DFT energy (no corrections) in eV for the cell shown: -90.0
data_Cs3CdI5
_space_group_name_H-M_alt 'P 1'
_space_group_IT_number 1
_cell_length_a 10.216
_cell_length_b 12.011
_cell_length_c 15.113
_cell_angle_alpha 90.00
_cell_angle_beta 90.00
_cell_angle_gamma 90.00
loop_
_space_group_symop_operation_xyz
'x,y,z'
loop_
_atom_site_label
_atom_site_fract_x
_atom_site_fract_y
_atom_site_fract_z
Cd1 0.689 0.750 0.609
Cd2 0.811 0.250 0.109
I1 0.870 0.250 0.290
I2 0.314 0.551 0.938
Cs1 0.421 0.018 0.671
Cs2 0.079 0.982 0.171
I3 0.325 0.750 0.237
I4 0.825 0.750 0.263
I5 0.686 0.051 0.062
I6 0.630 0.750 0.790
I7 0.686 0.449 0.062
I8 0.175 0.250 0.737
I9 0.545 0.250 0.493
Cs3 0.079 0.518 0.171
I10 0.370 0.250 0.210
Cs4 0.921 0.018 0.829
Cs5 0.078 0.750 0.449
I11 0.814 0.949 0.562
I12 0.675 0.250 0.763
Cs6 0.579 0.982 0.329
I13 0.045 0.250 0.007
I14 0.186 0.449 0.438
I15 0.955 0.750 0.993
I16 0.814 0.551 0.562
I17 0.130 0.750 0.710
Cs7 0.922 0.250 0.551
Cd3 0.311 0.250 0.391
Cs8 0.578 0.750 0.051
I18 0.314 0.949 0.938
Cs9 0.921 0.482 0.829
I19 0.186 0.051 0.438
Cs10 0.421 0.482 0.671
Cs11 0.422 0.250 0.949
I20 0.455 0.750 0.507
Cs12 0.579 0.518 0.329
Cd4 0.189 0.750 0.891